AcHgS2: optimized geometry, PBE.

Results
Formation energy without anion corrections = -1.1478 eV per atom
SG = No. 166
Size of the total moment = 0.0001 μB/atom

Unit cell a=8.701 b=8.701 c=8.701 alpha=29.92 beta=29.92 gamma=29.92
Sites, in units of the cell vectors:
Ac  0.000  0.000  0.000
Hg  0.500  0.500  0.500
S  0.394  0.394  0.394
S  0.606  0.606  0.606

SrScCoPt2: optimized geometry, PBE.

Results
ΔH_f (0 K) = 4.38 eV per formula unit
SG = No. 123
Size of the total moment = 0.3631 μB/atom

Unit cell a=4.814 b=4.814 c=5.685 alpha=90.00 beta=90.00 gamma=90.00
Sites, in units of the cell vectors:
Sr  0.000  0.000  0.000
Sc  0.000  0.000  0.500
Co  0.500  0.500  0.000
Pt  0.000  0.500  0.500
Pt  0.500  0.000  0.500

Tb2Ga3Os: optimized geometry, PBE.

Results
ΔH_f (0 K) = -2.96 eV per formula unit
SG = No. 166
Size of the total moment = 0.0000 μB/atom

Unit cell a=5.398 b=5.398 c=5.398 alpha=60.88 beta=60.88 gamma=60.88
Sites, in units of the cell vectors:
Tb  0.127  0.127  0.127
Tb  0.873  0.873  0.873
Ga  0.000  0.500  0.500
Ga  0.500  0.000  0.500
Ga  0.500  0.500  0.000
Os  0.500  0.500  0.500

TbErBeCd: optimized geometry, PBE.

Results
ΔH_f (0 K) = -0.16 eV per formula unit
SG = No. 216
Size of the total moment = 0.0000 μB/atom

Unit cell a=5.083 b=5.083 c=5.083 alpha=60.00 beta=60.00 gamma=60.00
Sites, in units of the cell vectors:
Tb  0.000  0.000  0.000
Er  0.500  0.500  0.500
Be  0.750  0.750  0.750
Cd  0.250  0.250  0.250

Mg6CuCO8: optimized geometry, PBE.

Results
E above lowest polymorph = 32 meV/atom
Formation energy without anion corrections = -1.7836 eV per atom
SG = No. 123
Size of the total moment = 0.0387 μB/atom

Unit cell a=4.215 b=4.215 c=8.511 alpha=90.00 beta=90.00 gamma=90.00
Sites, in units of the cell vectors:
Mg  0.000  0.000  0.000
Mg  0.000  0.500  0.256
Mg  0.000  0.500  0.744
Mg  0.500  0.000  0.256
Mg  0.500  0.000  0.744
Mg  0.500  0.500  0.000
Cu  0.000  0.000  0.500
C  0.500  0.500  0.500
O  0.000  0.000  0.250
O  0.000  0.000  0.750
O  0.000  0.500  0.000
O  0.000  0.500  0.500
O  0.500  0.000  0.000
O  0.500  0.000  0.500
O  0.500  0.500  0.251
O  0.500  0.500  0.749

AlCd3Co: optimized geometry, PBE.

Results
E above lowest polymorph = 428 meV/atom
ΔH_f (0 K) = 4.91 eV per formula unit
SG = No. 221
Size of the total moment = 0.4211 μB/atom

Unit cell a=5.119 b=5.119 c=5.119 alpha=90.00 beta=90.00 gamma=90.00
Sites, in units of the cell vectors:
Al  0.000  0.000  0.000
Cd  0.000  0.000  0.500
Cd  0.000  0.500  0.000
Cd  0.500  0.000  0.000
Co  0.500  0.500  0.500

ScPaNbTc: optimized geometry, PBE.

Results
ΔH_f (0 K) = -0.45 eV per formula unit
SG = No. 216
Size of the total moment = 0.0000 μB/atom

Unit cell a=4.781 b=4.781 c=4.781 alpha=60.00 beta=60.00 gamma=60.00
Sites, in units of the cell vectors:
Sc  0.000  0.000  0.000
Pa  0.500  0.500  0.500
Nb  0.250  0.250  0.250
Tc  0.750  0.750  0.750

RbSrInFe2: optimized geometry, PBE.

Results
ΔH_f (0 K) = 7.02 eV per formula unit
SG = No. 123
Size of the total moment = 1.1251 μB/atom

Unit cell a=5.662 b=5.662 c=6.282 alpha=90.00 beta=90.00 gamma=90.00
Sites, in units of the cell vectors:
Rb  0.000  0.000  0.000
Sr  0.500  0.500  0.500
In  0.500  0.500  0.000
Fe  0.000  0.500  0.500
Fe  0.500  0.000  0.500

Pm3Ag2: optimized geometry, PBE.

Results
E above lowest polymorph = 82 meV/atom
ΔH_f (0 K) = -0.63 eV per formula unit
SG = No. 12
Size of the total moment = 0.0000 μB/atom

Unit cell a=8.360 b=8.360 c=10.259 alpha=92.81 beta=92.81 gamma=36.08
Sites, in units of the cell vectors:
Pm  0.000  0.000  0.000
Pm  0.011  0.011  0.330
Pm  0.247  0.247  0.733
Pm  0.349  0.349  0.065
Pm  0.391  0.391  0.439
Pm  0.609  0.609  0.561
Pm  0.651  0.651  0.935
Pm  0.753  0.753  0.267
Pm  0.989  0.989  0.670
Ag  0.168  0.168  0.146
Ag  0.198  0.198  0.443
Ag  0.450  0.450  0.813
Ag  0.550  0.550  0.187
Ag  0.802  0.802  0.557
Ag  0.832  0.832  0.854

PmScZnBi: optimized geometry, PBE.

Results
ΔH_f (0 K) = -1.42 eV per formula unit
SG = No. 216
Size of the total moment = 0.0001 μB/atom

Unit cell a=5.226 b=5.226 c=5.226 alpha=60.00 beta=60.00 gamma=60.00
Sites, in units of the cell vectors:
Pm  0.000  0.000  0.000
Sc  0.500  0.500  0.500
Zn  0.750  0.750  0.750
Bi  0.250  0.250  0.250

BaY2HfPd: optimized geometry, PBE.

Results
ΔH_f (0 K) = 2.08 eV per formula unit
SG = No. 123
Size of the total moment = 0.5232 μB/atom

Unit cell a=5.473 b=5.473 c=5.877 alpha=90.00 beta=90.00 gamma=90.00
Sites, in units of the cell vectors:
Ba  0.000  0.000  0.000
Y  0.000  0.500  0.500
Y  0.500  0.000  0.500
Hf  0.500  0.500  0.000
Pd  0.000  0.000  0.500

LiPbCl4: optimized geometry, PBE.

Results
E above lowest polymorph = 933 meV/atom
Formation energy without anion corrections = -0.1581 eV per atom
SG = No. 216
Size of the total moment = 0.1739 μB/atom

Unit cell a=6.057 b=6.057 c=6.057 alpha=60.00 beta=60.00 gamma=60.00
Sites, in units of the cell vectors:
Li  0.000  0.000  0.000
Pb  0.750  0.750  0.750
Cl  0.375  0.375  0.375
Cl  0.375  0.375  0.876
Cl  0.375  0.876  0.375
Cl  0.876  0.375  0.375

Results for Fermi-level density of states: 0.932; 0.943; 0.725; 0.962; 0.116; 1.371; 0.987; 1.489; 1.109; 0.944; 1.272; 0.693 (in states/eV per atom, following the order of the records).